(1)
CaPu2CoO8 (GGA+U, optimized geometry); DFT total energy = -0.3191 hartree per atom; density of states at the Fermi level = 5.23 states/eV per cell
1.0
-0.1218 1.0655 4.7473
-4.7001 -1.2098 0.3654
1.7880 -6.4924 1.5031
O Ca Pu Co
8 1 2 1
direct
0.7886 0.2122 0.2305
0.2114 0.7879 0.2305
0.3051 0.3045 0.0000
0.2114 0.7878 0.7695
0.3229 0.3221 0.5000
0.6771 0.6779 0.5000
0.6949 0.6955 0.0000
0.7886 0.2121 0.7695
0.0000 0.0000 0.5000
0.5000 0.5000 0.2436
0.5000 0.5000 0.7564
0.0000 0.0000 0.0000

(2)
RbCa2CoO4 (GGA+U, optimized geometry); DFT total energy = -0.2091 hartree per atom
1.0
5.8190 -0.1296 -0.1868
-2.9154 5.0376 0.1868
-2.9154 -1.5881 4.7844
Ca Rb Co O
2 1 1 4
direct
0.5000 0.2500 0.7500
0.5000 0.7500 0.2500
0.0000 0.0000 0.0000
0.0000 0.5000 0.5000
0.6253 0.4480 0.4480
0.0000 0.1773 0.5520
0.0000 0.5520 0.1773
0.3747 0.8227 0.8227

(3)
CaCoRhO4 (GGA+U, optimized geometry); DFT total energy = -0.2331 hartree per atom
1.0
-0.3870 3.4346 4.8557
-3.0867 -5.3623 -0.1111
6.3190 0.0954 0.4362
O Ca Rh Co
8 2 2 2
direct
0.2494 0.9402 0.7201
0.2643 0.5285 0.3122
0.7357 0.4715 0.2837
0.6908 0.9402 0.7201
0.2643 0.5285 0.7163
0.7357 0.4715 0.6878
0.7506 0.0598 0.2799
0.3092 0.0598 0.2799
0.1310 0.2621 0.8810
0.8690 0.7379 0.1190
0.5000 0.0000 0.0000
0.5000 0.0000 0.5000
0.0000 0.5000 0.5000
0.5000 0.5000 0.5000